Entry 1:
## CaHfTl2O6 (PBE)

Data for a relaxed CaHfTl2O6 crystal.

abc: 6.052 6.052 6.052
angles: 56.53 56.53 56.53
Element x y z (fractional)
Ca 0.000 0.000 0.000
Hf 0.497 0.497 0.497
Tl 0.281 0.281 0.281
Tl 0.780 0.780 0.780
O 0.125 0.682 0.399
O 0.226 0.594 0.862
O 0.399 0.125 0.682
O 0.594 0.862 0.226
O 0.682 0.399 0.125
O 0.862 0.226 0.594

Results
space group = R3 (146)
DFT total energy = -6.621 eV per atom
crystal system = trigonal
total magnetization = 0.00 μB per cell
calculated density = 8.33 g cm⁻³

Entry 2:
## Zr3BeTc (PBE)

Data for a relaxed Zr3BeTc crystal.

abc: 4.632 4.632 4.632
angles: 90.00 90.00 90.00
Element x y z (fractional)
Zr 0.000 0.000 0.500
Zr 0.000 0.500 0.000
Zr 0.500 0.000 0.000
Be 0.000 0.000 0.000
Tc 0.500 0.500 0.500

Results
space group = Pm-3m (221)
DFT total energy = -7.378 eV per atom
DFT formation energy = 0.57 eV/atom
excess energy over the best structure of this formula in the dataset = 0 meV per atom
crystal system = cubic
total magnetization = 0.00 μB per cell
calculated density = 6.36 g cm⁻³

Entry 3:
## Zn2CuBr2 (PBE)

Data for a relaxed Zn2CuBr2 crystal.

abc: 5.426 5.426 5.426
angles: 119.03 119.03 91.69
Element x y z (fractional)
Zn 0.159 0.159 0.000
Zn 0.841 0.841 0.000
Cu 0.500 0.500 0.000
Br 0.250 0.750 0.500
Br 0.750 0.250 0.500

Results
space group = I4/mmm (139)
DFT total energy = -1.887 eV per atom
excess energy over the best structure of this formula in the dataset = 0 meV per atom
crystal system = tetragonal
total magnetization = 0.00 μB per cell
calculated density = 5.13 g cm⁻³

Entry 4:
## SrCd2SnPd (PBE)

Data for a relaxed SrCd2SnPd crystal.

abc: 5.226 5.226 5.179
angles: 90.00 90.00 90.00
Element x y z (fractional)
Sr 0.000 0.000 0.000
Cd 0.000 0.500 0.500
Cd 0.500 0.000 0.500
Sn 0.500 0.500 0.000
Pd 0.500 0.500 0.500

Results
space group = P4/mmm (123)
DFT total energy = -2.848 eV per atom
DFT formation energy = -0.31 eV/atom
crystal system = tetragonal
total magnetization = 0.00 μB per cell
calculated density = 6.31 g cm⁻³

Entry 5:
## Ge2BiHPt (PBE)

Data for a relaxed Ge2BiHPt crystal.

abc: 4.247 4.247 4.834
angles: 90.00 90.00 90.00
Element x y z (fractional)
Ge 0.000 0.500 0.000
Ge 0.500 0.000 0.000
Bi 0.000 0.000 0.500
H 0.000 0.000 0.000
Pt 0.500 0.500 0.500

Results
space group = P4/mmm (123)
DFT total energy = -4.145 eV per atom
crystal system = tetragonal
total magnetization = 0.00 μB per cell
calculated density = 10.48 g cm⁻³

Entry 6:
## La8Tb3Ho2 (PBE)

Data for a relaxed La8Tb3Ho2 crystal.

abc: 7.751 5.860 10.984
angles: 90.00 110.65 90.00
Element x y z (fractional)
La 0.095 0.000 0.289
La 0.175 0.500 0.851
La 0.306 0.000 0.711
La 0.369 0.500 0.237
La 0.631 0.500 0.763
La 0.694 0.000 0.289
La 0.825 0.500 0.149
La 0.905 0.000 0.711
Tb 0.217 0.500 0.500
Tb 0.500 0.000 0.500
Tb 0.783 0.500 0.500
Ho 0.260 0.000 0.020
Ho 0.740 0.000 0.980

Results
space group = P2/m (10)
DFT total energy = -4.625 eV per atom
DFT formation energy = 0.18 eV/atom
excess energy over the best structure of this formula in the dataset = 36 meV per atom
crystal system = monoclinic
total magnetization = 0.00 μB per cell
calculated density = 6.82 g cm⁻³

Question: Which value of DFT total energy does entry 6 give?
Answer: -4.625 eV per atom

What did the second record say?
## Zr3BeTc (PBE)

Data for a relaxed Zr3BeTc crystal.

abc: 4.632 4.632 4.632
angles: 90.00 90.00 90.00
Element x y z (fractional)
Zr 0.000 0.000 0.500
Zr 0.000 0.500 0.000
Zr 0.500 0.000 0.000
Be 0.000 0.000 0.000
Tc 0.500 0.500 0.500

Results
space group = Pm-3m (221)
DFT total energy = -7.378 eV per atom
DFT formation energy = 0.57 eV/atom
excess energy over the best structure of this formula in the dataset = 0 meV per atom
crystal system = cubic
total magnetization = 0.00 μB per cell
calculated density = 6.36 g cm⁻³

Question: The lowest DFT total energy belongs to which entry?
Answer: Zr3BeTc

Repeat the second record exactly.
## Zr3BeTc (PBE)

Data for a relaxed Zr3BeTc crystal.

abc: 4.632 4.632 4.632
angles: 90.00 90.00 90.00
Element x y z (fractional)
Zr 0.000 0.000 0.500
Zr 0.000 0.500 0.000
Zr 0.500 0.000 0.000
Be 0.000 0.000 0.000
Tc 0.500 0.500 0.500

Results
space group = Pm-3m (221)
DFT total energy = -7.378 eV per atom
DFT formation energy = 0.57 eV/atom
excess energy over the best structure of this formula in the dataset = 0 meV per atom
crystal system = cubic
total magnetization = 0.00 μB per cell
calculated density = 6.36 g cm⁻³